Tl2Cd2Ir after structural relaxation. Source: the Alexandria database, functional PBE-GGA.

## Properties
- Magnetization: 0.09 μB per atom
- Energy of formation: 3.76 eV per formula unit

a b c (Å): 8.297 8.297 8.297
angles (deg): 151.99 151.99 40.03
Atoms (fractional coordinates):
Tl  0.250  0.750  0.500
Tl  0.750  0.250  0.500
Cd  0.585  0.585  0.000
Cd  0.415  0.415  0.000
Ir  0.000  0.000  0.000